Tl2VSbIr PBE-GGA relaxed; space-group type = No. 123; crystal system = tetragonal
1.0
5.2404 0.0000 0.0000
0.0000 5.2404 0.0000
0.0000 0.0000 4.6434
Tl V Sb Ir
2 1 1 1
Cartesian
0.0000 2.6202 0.0000
2.6202 0.0000 0.0000
0.0000 0.0000 0.0000
2.6202 2.6202 2.3217
0.0000 0.0000 2.3217

TlV2SbIr PBE-GGA relaxed; space-group type = No. 123; crystal system = tetragonal
1.0
4.9332 0.0000 0.0000
0.0000 4.9332 0.0000
0.0000 0.0000 5.0453
Tl V Sb Ir
1 2 1 1
Cartesian
0.0000 0.0000 0.0000
0.0000 2.4666 2.5227
2.4666 0.0000 2.5227
2.4666 2.4666 0.0000
2.4666 2.4666 2.5227

TmSb2Ir PBE-GGA relaxed; space-group type = No. 166; crystal system = trigonal
1.0
3.5997 0.0000 0.0000
-1.7998 3.1174 0.0000
0.0000 0.0000 28.6928
Tm Sb Ir
3 6 3
Cartesian
0.0000 0.0000 0.0000
0.0000 2.0783 19.1285
1.7998 1.0391 9.5643
0.0000 0.0000 3.0814
0.0000 0.0000 25.6114
0.0000 2.0783 16.0472
0.0000 2.0783 22.2099
1.7998 1.0391 6.4829
1.7998 1.0391 12.6456
0.0000 0.0000 14.3464
0.0000 2.0783 4.7821
1.7998 1.0391 23.9107

TmSbIr2 PBE-GGA relaxed; space-group type = No. 123; crystal system = tetragonal
1.0
4.3606 0.0000 0.0000
0.0000 4.3606 0.0000
0.0000 0.0000 3.8502
Tm Sb Ir
1 1 2
Cartesian
0.0000 0.0000 0.0000
2.1803 2.1803 0.0000
0.0000 2.1803 1.9251
2.1803 0.0000 1.9251

Tm7Sb2Ir2 PBE-GGA relaxed; space-group type = No. 65; crystal system = orthorhombic
1.0
4.3760 -5.1468 0.0000
4.3760 5.1468 0.0000
0.0000 0.0000 7.0771
Tm Sb Ir
7 2 2
Cartesian
0.0000 0.0000 0.0000
2.1880 2.5734 1.6879
2.1880 2.5734 5.3892
2.1880 -2.5734 1.6879
2.1880 -2.5734 5.3892
4.3760 0.0000 1.6340
4.3760 0.0000 5.4431
1.8860 0.0000 3.5386
6.8659 0.0000 3.5386
4.3760 2.2899 0.0000
4.3760 -2.2899 0.0000

Tm4SbIr2 PBE-GGA relaxed; space-group type = No. 74; crystal system = orthorhombic
1.0
-4.5065 4.5141 4.7779
4.5065 -4.5141 4.7779
4.5065 4.5141 -4.7779
Tm Sb Ir
8 2 4
Cartesian
2.8438 2.2571 -0.2367
6.1692 2.2571 -0.2367
0.0000 0.5928 2.1538
4.5065 0.5928 2.6241
0.0000 3.9213 2.1538
4.5065 3.9213 2.6241
-1.6627 2.2571 5.0146
1.6627 2.2571 5.0146
4.5065 -2.2571 3.5725
0.0000 6.7712 1.2054
4.5065 0.0000 0.0000
-2.2533 2.2571 2.3889
0.0000 0.0000 4.7779
2.2533 2.2571 2.3889

Tm5SbIr2 PBE-GGA relaxed; space-group type = No. 140; crystal system = tetragonal
1.0
-3.8448 3.8448 6.6299
3.8448 -3.8448 6.6299
3.8448 3.8448 -6.6299
Tm Sb Ir
10 2 4
Cartesian
0.0000 0.0000 0.0000
5.0473 1.2025 -1.7776
1.2025 2.6423 -1.7776
5.0473 1.2025 1.7776
1.2025 2.6423 1.7776
0.0000 0.0000 6.6299
2.6423 1.2025 4.8523
-1.2025 2.6423 4.8523
2.6423 1.2025 8.4075
-1.2025 2.6423 8.4075
0.0000 0.0000 3.3149
0.0000 0.0000 9.9448
2.7687 1.0762 0.0000
2.7687 -1.0762 6.6299
1.0762 4.9210 0.0000
1.0762 2.7687 6.6299

Tm8Sb2Ir3 PBE-GGA relaxed; space-group type = No. 10; crystal system = monoclinic
1.0
8.8488 0.0000 0.0000
0.0000 4.7860 0.0000
-3.6050 0.0000 8.0822
Tm Sb Ir
8 2 3
Cartesian
-0.4604 0.0000 3.1700
-1.8499 2.3930 6.9863
0.9025 2.3930 5.1998
3.0172 0.0000 0.9126
2.2266 0.0000 7.1697
4.3413 2.3930 2.8824
7.0937 2.3930 1.0960
5.7041 0.0000 4.9123
1.2253 2.3930 2.0798
4.0185 2.3930 6.0025
-0.4900 0.0000 6.0664
4.4244 2.3930 0.0000
5.7338 0.0000 2.0159

Tm8SbIr2 PBE-GGA relaxed; space-group type = No. 12; crystal system = monoclinic
1.0
4.2721 -6.4175 0.0000
4.2721 6.4175 0.0000
-1.2391 0.0000 5.3939
Tm Sb Ir
8 1 2
Cartesian
0.9949 1.6880 3.2158
4.2721 3.2453 0.0000
0.9949 -1.6880 3.2158
3.0626 0.0000 1.1155
4.2425 0.0000 4.2783
6.3103 1.6880 2.1781
4.2721 -3.2453 0.0000
6.3103 -1.6880 2.1781
0.0000 0.0000 0.0000
3.6526 2.4199 2.6969
3.6526 -2.4199 2.6969

Tm7Sb2Ir2 PBE-GGA relaxed; space-group type = No. 44; crystal system = orthorhombic
1.0
-1.9984 7.7842 4.5705
1.9984 -7.7842 4.5705
1.9984 7.7842 -4.5705
Tm Sb Ir
7 2 2
Cartesian
0.0000 0.0000 0.0000
1.9984 2.8991 -1.1375
1.9984 -2.2940 2.2325
1.9984 2.2940 2.2325
1.9984 5.8028 0.8056
0.0000 4.8851 3.4330
0.0000 1.9814 5.3762
0.0000 0.0000 3.0428
0.0000 7.7842 2.2482
0.0000 3.7492 0.6465
0.0000 11.8193 0.6465

USbIr PBE-GGA relaxed; space-group type = No. 156; crystal system = trigonal
1.0
4.2993 0.0000 0.0000
-2.1497 3.7233 0.0000
0.0000 0.0000 4.2084
U Sb Ir
1 1 1
Cartesian
0.0000 0.0000 0.0000
0.0000 2.4822 1.9327
2.1497 1.2411 2.9239

USbIr PBE-GGA relaxed; space-group type = No. 107; crystal system = tetragonal
1.0
3.4676 0.0000 0.0000
0.0000 3.4676 0.0000
0.0000 0.0000 10.8931
U Sb Ir
2 2 2
Cartesian
0.0000 0.0000 0.0000
1.7338 1.7338 5.4465
0.0000 0.0000 7.6940
1.7338 1.7338 2.2474
0.0000 0.0000 4.0941
1.7338 1.7338 9.5406

Number 1: total energy -22.63 eV for the cell shown, total moment 0.0 μB/f.u., raw formation energy 4.2 eV per formula unit. Number 2: total energy -30.04 eV for the cell shown, total moment 5.3 μB/f.u., raw formation energy 3.5 eV per formula unit. Number 3: total energy -65.08 eV for the cell shown, total moment 0.0 μB/f.u., raw formation energy -0.1 eV per formula unit. Number 4: total energy -28.40 eV for the cell shown, total moment 0.0 μB/f.u., raw formation energy -2.1 eV per formula unit. Number 5: total energy -64.60 eV for the cell shown, total moment 0.0 μB/f.u., raw formation energy -7.3 eV per formula unit. Number 6: total energy -88.95 eV for the cell shown, total moment 0.0 μB/f.u., raw formation energy -4.7 eV per formula unit. Number 7: total energy -102.23 eV for the cell shown, total moment 0.0 μB/f.u., raw formation energy -6.9 eV per formula unit. Number 8: total energy -80.87 eV for the cell shown, total moment 0.0 μB/f.u., raw formation energy -10.3 eV per formula unit. Number 9: total energy -63.68 eV for the cell shown, total moment 0.0 μB/f.u., raw formation energy -6.1 eV per formula unit. Number 10: total energy -66.12 eV for the cell shown, total moment 1.1 μB/f.u., raw formation energy -8.9 eV per formula unit. Number 11: total energy -25.28 eV for the cell shown, total moment 0.0 μB/f.u., raw formation energy -1.0 eV per formula unit. Number 12: total energy -49.89 eV for the cell shown, total moment 1.2 μB/f.u., raw formation energy -0.7 eV per formula unit.